Ba3SmBi2O6 | GGA-PBE | relaxed

Cell: 6.2200 6.2200 7.2816 Å, 90.00 90.00 120.00°
With the nearest neighbours (Å) after each atom.
Space group P-3m1 (No. 164)
Symmetry-distinct sites (fractional):
Ba  0.0000  0.0000  0.0000  6 O 2.98
Ba  0.3333  0.6667  0.6238  9 O 2.81-3.14
Sm  0.0000  0.0000  0.5000  6 O 2.30
Bi  0.3333  0.6667  0.1208  3 O 2.23
O  0.1742  0.3484  0.3174  1 Bi 2.23, 1 Sm 2.30

Output
ρ: 7.326 g/cm3
Formation energy (no corrections): -2.08 eV/atom
DFT total energy: -0.447 Ry/atom